Entry A
Here is a relaxed structure of LiVTeO5 from Alexandria via LeMat-Bulk. Energies are from PBE with a Hubbard U.

abc: 5.1504 8.9322 11.6553
angles: 90.00 90.00 90.00
With the nearest neighbours (Å) after each atom.
Positions (direct):
Li 0.1731 0.0496 0.4625  4 O 1.92-2.02
Li 0.3269 0.9504 0.9625  4 O 1.92-2.02
Li 0.6731 0.4504 0.5375  4 O 1.92-2.02
Li 0.8269 0.5496 0.0375  4 O 1.92-2.02
V 0.1612 0.4201 0.3758  3 O 1.66-1.85
V 0.3388 0.5799 0.8758  3 O 1.66-1.85
V 0.6612 0.0799 0.6242  3 O 1.66-1.85
V 0.8388 0.9201 0.1242  3 O 1.66-1.85
Te 0.1778 0.6696 0.6096  3 O 1.85-1.97
Te 0.3222 0.3304 0.1096  3 O 1.85-1.97
Te 0.6778 0.8304 0.3904  3 O 1.85-1.97
Te 0.8222 0.1696 0.8904  3 O 1.85-1.97
O 0.1564 0.9483 0.1145  1 V 1.66
O 0.1726 0.1476 0.9194  1 Te 1.85, 1 Li 2.00
O 0.1846 0.4741 0.9971  1 V 1.88, 1 Te 1.97, 1 Li 2.02
O 0.2259 0.2382 0.3873  1 V 1.66
O 0.2269 0.5232 0.7313  1 V 1.85, 1 Te 1.95
O 0.2731 0.4768 0.2313  1 V 1.85, 1 Te 1.95
O 0.2741 0.7618 0.8873  1 V 1.66
O 0.3154 0.5259 0.4971  1 V 1.88, 1 Te 1.97, 1 Li 2.02
O 0.3274 0.8524 0.4194  1 Te 1.85, 1 Li 2.00
O 0.3436 0.0517 0.6145  1 V 1.66
O 0.6564 0.5517 0.8855  1 V 1.66
O 0.6726 0.3524 0.0806  1 Te 1.85, 1 Li 2.00
O 0.6846 0.0259 0.0029  1 V 1.88, 1 Te 1.97, 1 Li 2.02
O 0.7259 0.2618 0.6127  1 V 1.66
O 0.7269 0.9768 0.2687  1 V 1.85, 1 Te 1.95
O 0.7731 0.0232 0.7687  1 V 1.85, 1 Te 1.95
O 0.7741 0.7382 0.1127  1 V 1.66
O 0.8154 0.9741 0.5029  1 V 1.88, 1 Te 1.97, 1 Li 2.02
O 0.8274 0.6476 0.5806  1 Te 1.85, 1 Li 2.00
O 0.8436 0.4483 0.3855  1 V 1.66

Summary:
- Space-group type: P2_12_12_1
- Calculated volume: 16.76 A^3/atom
- Magnetization: 0.0 Bohr magnetons per cell



Entry B
Here is a relaxed structure of LiVTeO5 from Alexandria via LeMat-Bulk. Energies are from PBE with a Hubbard U.

abc: 5.1528 8.4624 9.7911
angles: 90.00 90.00 90.00
With the nearest neighbours (Å) after each atom.
Positions (direct):
Li 0.0270 0.1208 0.0308  4 O 1.98-2.10
Li 0.4730 0.8792 0.5308  4 O 1.98-2.10
Li 0.5270 0.3792 0.9692  4 O 1.98-2.10
Li 0.9730 0.6208 0.4692  4 O 1.98-2.10
V 0.0459 0.4790 0.1505  3 O 1.68-1.86
V 0.4541 0.5210 0.6505  3 O 1.68-1.86
V 0.5459 0.0210 0.8495  3 O 1.68-1.86
V 0.9541 0.9790 0.3495  3 O 1.68-1.86
Te 0.0311 0.1775 0.6412  3 O 1.89-2.00
Te 0.4689 0.8225 0.1412  3 O 1.89-2.00
Te 0.5311 0.3225 0.3588  3 O 1.89-2.00
Te 0.9689 0.6775 0.8588  3 O 1.89-2.00
O 0.1714 0.0235 0.5234  1 Te 1.89, 1 Li 1.98, 1 V 2.07
O 0.1784 0.5105 0.3105  1 V 1.73
O 0.1894 0.6747 0.0782  1 V 1.95, 1 Te 2.00
O 0.2136 0.3228 0.0922  1 V 1.68
O 0.2205 0.0943 0.7984  1 V 1.86, 1 Te 1.95
O 0.2795 0.9057 0.2984  1 V 1.86, 1 Te 1.95
O 0.2864 0.6772 0.5922  1 V 1.68
O 0.3106 0.3253 0.5782  1 V 1.95, 1 Te 2.00
O 0.3216 0.4895 0.8105  1 V 1.73
O 0.3286 0.9765 0.0234  1 Te 1.89, 1 Li 1.98, 1 V 2.07
O 0.6714 0.4765 0.4766  1 Te 1.89, 1 Li 1.98, 1 V 2.07
O 0.6784 0.9895 0.6895  1 V 1.73
O 0.6894 0.8253 0.9218  1 V 1.95, 1 Te 2.00
O 0.7136 0.1772 0.9078  1 V 1.68
O 0.7205 0.4057 0.2016  1 V 1.86, 1 Te 1.95
O 0.7795 0.5943 0.7016  1 V 1.86, 1 Te 1.95
O 0.7864 0.8228 0.4078  1 V 1.68
O 0.8106 0.1747 0.4218  1 V 1.95, 1 Te 2.00
O 0.8216 0.0105 0.1895  1 V 1.73
O 0.8286 0.5235 0.9766  1 Te 1.89, 1 Li 1.98, 1 V 2.07

Summary:
- Space-group type: P2_12_12_1
- Calculated volume: 13.34 A^3/atom
- Magnetization: 0.0 Bohr magnetons per cell



Entry C
Here is a relaxed structure of LiVTeO5 from Alexandria via LeMat-Bulk. Energies are from PBE with a Hubbard U.

abc: 8.9380 6.4263 7.6697
angles: 90.00 90.00 90.00
With the nearest neighbours (Å) after each atom.
Positions (direct):
Li 0.0000 0.0000 0.0000  4 O 2.13
Li 0.0000 0.5000 0.0000  4 O 2.13
Li 0.5000 0.0000 0.5000  4 O 2.13
Li 0.5000 0.5000 0.5000  4 O 2.13
V 0.1947 0.2500 0.2750  2 O 1.66-1.68
V 0.3053 0.7500 0.7750  2 O 1.66-1.68
V 0.6947 0.2500 0.2250  2 O 1.66-1.68
V 0.8053 0.7500 0.7250  2 O 1.66-1.68
Te 0.1433 0.7500 0.3924  3 O 1.91-1.93
Te 0.3567 0.2500 0.8924  3 O 1.91-1.93
Te 0.6433 0.7500 0.1076  3 O 1.91-1.93
Te 0.8567 0.2500 0.6076  3 O 1.91-1.93
O 0.1173 0.7500 0.7874  1 V 1.68
O 0.1392 0.2500 0.4817  1 V 1.66
O 0.1457 0.5350 0.2173  1 Te 1.93, 1 V 1.93, 1 Li 2.13
O 0.1457 0.9650 0.2173  1 Te 1.93, 1 V 1.93, 1 Li 2.13
O 0.1552 0.2500 0.9757  1 Te 1.91, 2 Li 2.13
O 0.3448 0.7500 0.4757  1 Te 1.91, 2 Li 2.13
O 0.3543 0.0350 0.7173  1 Te 1.93, 1 V 1.93, 1 Li 2.13
O 0.3543 0.4650 0.7173  1 Te 1.93, 1 V 1.93, 1 Li 2.13
O 0.3608 0.7500 0.9817  1 V 1.66
O 0.3827 0.2500 0.2874  1 V 1.68
O 0.6173 0.7500 0.7126  1 V 1.68
O 0.6392 0.2500 0.0183  1 V 1.66
O 0.6457 0.5350 0.2827  1 Te 1.93, 1 V 1.93, 1 Li 2.13
O 0.6457 0.9650 0.2827  1 Te 1.93, 1 V 1.93, 1 Li 2.13
O 0.6552 0.2500 0.5243  1 Te 1.91, 2 Li 2.13
O 0.8448 0.7500 0.0243  1 Te 1.91, 2 Li 2.13
O 0.8543 0.0350 0.7827  1 Te 1.93, 1 V 1.93, 1 Li 2.13
O 0.8543 0.4650 0.7827  1 Te 1.93, 1 V 1.93, 1 Li 2.13
O 0.8608 0.7500 0.5183  1 V 1.66
O 0.8827 0.2500 0.2126  1 V 1.68

Summary:
- Space-group type: Pnma
- Calculated volume: 13.77 A^3/atom
- Magnetization: 0.0 Bohr magnetons per cell



Top of the stability list: entry B, leading by 54 meV per atom.



Entry A
Here is a relaxed structure of Li2TeWO6 from Alexandria via LeMat-Bulk. Energies are from PBE with a Hubbard U.

abc: 5.7289 5.7289 4.6149
angles: 90.00 90.00 90.00
With the nearest neighbours (Å) after each atom.
Positions (direct):
Li 0.0000 0.5000 0.0000  4 O 2.14
Li 0.5000 0.0000 0.0000  4 O 2.14
Te 0.0000 0.0000 0.7727  1 O 1.83
W 0.5000 0.5000 0.7493  5 O 1.76-1.94
O 0.0000 0.0000 0.3754  1 Te 1.83
O 0.2685 0.2685 0.8558  1 W 1.94, 2 Li 2.14
O 0.2685 0.7315 0.8558  1 W 1.94, 2 Li 2.14
O 0.5000 0.5000 0.3668  1 W 1.76
O 0.7315 0.2685 0.8558  1 W 1.94, 2 Li 2.14
O 0.7315 0.7315 0.8558  1 W 1.94, 2 Li 2.14

Summary:
- Space-group type: P4mm
- Calculated volume: 15.15 A^3/atom
- Magnetization: 0.0 Bohr magnetons per cell



Entry B
Here is a relaxed structure of Li2TeWO6 from Alexandria via LeMat-Bulk. Energies are from PBE with a Hubbard U.

abc: 5.4555 13.1470 8.7279
angles: 90.00 125.48 90.00
With the nearest neighbours (Å) after each atom.
Positions (direct):
Li 0.0517 0.0653 0.2434  4 O 1.96-2.15
Li 0.0517 0.4347 0.7434  4 O 1.96-2.15
Li 0.2696 0.1459 0.0265  4 O 1.97-2.18
Li 0.2696 0.3541 0.5265  4 O 1.97-2.18
Li 0.7304 0.6459 0.4735  4 O 1.97-2.18
Li 0.7304 0.8541 0.9735  4 O 1.97-2.18
Li 0.9483 0.5653 0.2566  4 O 1.96-2.15
Li 0.9483 0.9347 0.7566  4 O 1.96-2.15
Te 0.1760 0.7022 0.9250  3 O 1.92-1.98
Te 0.1760 0.7978 0.4250  3 O 1.92-1.98
Te 0.8240 0.2022 0.5750  3 O 1.92-1.98
Te 0.8240 0.2978 0.0750  3 O 1.92-1.98
W 0.4789 0.0985 0.7582  3 O 1.81-1.87
W 0.4789 0.4015 0.2582  3 O 1.81-1.87
W 0.5211 0.5985 0.7418  3 O 1.81-1.87
W 0.5211 0.9015 0.2418  3 O 1.81-1.87
O 0.1396 0.0597 0.7466  1 W 1.87, 1 Li 1.98
O 0.1396 0.4403 0.2466  1 W 1.87, 1 Li 1.98
O 0.1800 0.6953 0.7013  1 Te 1.97, 1 W 2.11, 1 Li 2.17
O 0.1800 0.8047 0.2013  1 Te 1.97, 1 W 2.11, 1 Li 2.17
O 0.2300 0.2488 0.6955  1 Te 1.92, 1 Li 2.12
O 0.2300 0.2512 0.1955  1 Te 1.92, 1 Li 2.12
O 0.3105 0.0192 0.1604  1 W 1.81, 2 Li 1.97-2.02
O 0.3105 0.4808 0.6604  1 W 1.81, 2 Li 1.97-2.02
O 0.3244 0.6562 0.4653  1 Te 1.98, 1 W 2.13, 2 Li 2.15-2.18
O 0.3244 0.8438 0.9653  1 Te 1.98, 1 W 2.13, 2 Li 2.15-2.18
O 0.3325 0.0983 0.5114  1 W 1.81, 1 Li 1.96
O 0.3325 0.4017 0.0114  1 W 1.81, 1 Li 1.96
O 0.6675 0.5983 0.9886  1 W 1.81, 1 Li 1.96
O 0.6675 0.9017 0.4886  1 W 1.81, 1 Li 1.96
O 0.6756 0.1562 0.0347  1 Te 1.98, 1 W 2.13, 2 Li 2.15-2.18
O 0.6756 0.3438 0.5347  1 Te 1.98, 1 W 2.13, 2 Li 2.15-2.18
O 0.6895 0.5192 0.3396  1 W 1.81, 2 Li 1.97-2.02
O 0.6895 0.9808 0.8396  1 W 1.81, 2 Li 1.97-2.02
O 0.7700 0.7488 0.8045  1 Te 1.92, 1 Li 2.12
O 0.7700 0.7512 0.3045  1 Te 1.92, 1 Li 2.12
O 0.8200 0.1953 0.7987  1 Te 1.97, 1 W 2.11, 1 Li 2.17
O 0.8200 0.3047 0.2987  1 Te 1.97, 1 W 2.11, 1 Li 2.17
O 0.8604 0.5597 0.7534  1 W 1.87, 1 Li 1.98
O 0.8604 0.9403 0.2534  1 W 1.87, 1 Li 1.98

Summary:
- Space-group type: P2_1/c
- Calculated volume: 12.74 A^3/atom
- Magnetization: 0.0 Bohr magnetons per cell



Top of the stability list: entry B, leading by 168 meV per atom.